DFT (PBE) results for a relaxed V3Re4W crystal.

Properties
- Energy of formation from the pure elements: -2.0 eV per formula unit
- Total magnetic moment: 0.0 μB per formula unit
- Symmetry: P4/mmm, No. 123
- Volume: 14.46 Å³ per atom

a = 3.0635 Å, b = 3.0635 Å, c = 12.3249 Å
α = 90.00°, β = 90.00°, γ = 90.00°
Sites, in units of the cell vectors:
V (0.0000, 0.0000, 0.0000)
V (0.0000, 0.0000, 0.2443)
V (0.0000, 0.0000, 0.7557)
Re (0.5000, 0.5000, 0.1228)
Re (0.5000, 0.5000, 0.3674)
Re (0.5000, 0.5000, 0.6326)
Re (0.5000, 0.5000, 0.8772)
W (0.0000, 0.0000, 0.5000)